Compound: RbMoAuCl2
Source: the Alexandria database
Functional: PBE
Structure: optimized geometry

The calculation puts the formation energy (no corrections) at 1.053 eV per atom. For the total magnetic moment, the calculation gives 0.950 μB per atom.

Unit cell a=5.800 b=6.167 c=5.800 alpha=90.00 beta=90.00 gamma=90.00
Last column: magnetic moment on the atom in μB.
Sites, in units of the cell vectors:
Mo 0.000 0.500 0.000  4.07
Rb 0.000 0.000 0.000  0.03
Au 0.500 0.500 0.500  -0.14
Cl 0.000 0.000 0.500  -0.01
Cl 0.500 0.000 0.000  -0.01



Compound: MoAuSCl2
Source: the Alexandria database
Functional: PBE
Structure: optimized geometry

The calculation puts the formation energy (no corrections) at 0.772 eV per atom. For the total magnetic moment, the calculation gives 0.849 μB per atom. The calculation puts the energy relative to the lowest polymorph listed for this composition at 0.638 eV per atom.

Unit cell a=4.859 b=4.859 c=5.134 alpha=90.00 beta=90.00 gamma=90.00
Last column: magnetic moment on the atom in μB.
Sites, in units of the cell vectors:
Au 0.000 0.000 0.000  -0.01
Mo 0.500 0.500 0.500  3.76
Cl 0.500 0.000 0.000  0.02
S 0.000 0.000 0.500  -0.17
Cl 0.000 0.500 0.000  0.02



Compound: MoAuSCl2
Source: the Alexandria database
Functional: PBE
Structure: optimized geometry

The calculation puts the formation energy (no corrections) at 0.134 eV per atom. For the total magnetic moment, the calculation gives 0.402 μB per atom. The calculation puts the energy relative to the lowest polymorph listed for this composition at 0.000 eV per atom.

Unit cell a=4.924 b=4.924 c=4.644 alpha=90.00 beta=90.00 gamma=90.00
Last column: magnetic moment on the atom in μB.
Sites, in units of the cell vectors:
Mo 0.000 0.000 0.000  1.55
S 0.000 0.000 0.500  -0.05
Au 0.500 0.500 0.500  0.10
Cl 0.500 0.000 0.000  0.05
Cl 0.000 0.500 0.000  0.05



Compound: MoAuS2Cl
Source: the Alexandria database
Functional: PBE
Structure: optimized geometry

The calculation puts the formation energy (no corrections) at 0.961 eV per atom. For the total magnetic moment, the calculation gives 0.723 μB per atom. The calculation puts the energy relative to the lowest polymorph listed for this composition at 0.746 eV per atom.

Unit cell a=4.905 b=4.905 c=4.782 alpha=90.00 beta=90.00 gamma=90.00
Last column: magnetic moment on the atom in μB.
Sites, in units of the cell vectors:
Au 0.000 0.000 0.000  -0.03
S 0.000 0.500 0.000  -0.21
Cl 0.000 0.000 0.500  0.04
Mo 0.500 0.500 0.500  3.58
S 0.500 0.000 0.000  -0.21



Compound: MoAuS2Cl
Source: the Alexandria database
Functional: PBE
Structure: optimized geometry

The calculation puts the formation energy (no corrections) at 0.215 eV per atom. For the total magnetic moment, the calculation gives 0.000 μB per atom. The calculation puts the energy relative to the lowest polymorph listed for this composition at 0.000 eV per atom.

Unit cell a=4.659 b=4.659 c=4.898 alpha=90.00 beta=90.00 gamma=90.00
Sites, in units of the cell vectors:
S 0.500 0.000 0.000
Cl 0.000 0.000 0.500
Au 0.500 0.500 0.500
Mo 0.000 0.000 0.000
S 0.000 0.500 0.000



Compound: TiMoAu2Cl
Source: the Alexandria database
Functional: PBE
Structure: optimized geometry

The calculation puts the formation energy (no corrections) at 1.154 eV per atom. For the total magnetic moment, the calculation gives 0.000 μB per atom.

Unit cell a=4.718 b=4.366 c=4.718 alpha=90.00 beta=90.00 gamma=90.00
Sites, in units of the cell vectors:
Au 0.500 0.000 0.000
Au 0.000 0.000 0.500
Ti 0.000 0.500 0.000
Cl 0.000 0.000 0.000
Mo 0.500 0.500 0.500



Compound: MoWAuCl2
Source: the Alexandria database
Functional: PBE
Structure: optimized geometry

The calculation puts the formation energy (no corrections) at 2.087 eV per atom. For the total magnetic moment, the calculation gives 0.812 μB per atom.

Unit cell a=4.605 b=5.934 c=4.605 alpha=90.00 beta=90.00 gamma=90.00
Last column: magnetic moment on the atom in μB.
Sites, in units of the cell vectors:
Cl 0.500 0.000 0.000  0.06
Cl 0.000 0.000 0.500  0.07
Mo 0.000 0.500 0.000  2.67
W 0.500 0.500 0.500  0.36
Au 0.000 0.000 0.000  0.07



Compound: AuNCl2
Source: the Alexandria database
Functional: PBE
Structure: optimized geometry

The calculation puts the formation energy (no corrections) at 1.350 eV per atom. For the total magnetic moment, the calculation gives 0.000 μB per atom. The calculation puts the energy relative to the lowest polymorph listed for this composition at 0.091 eV per atom.

Unit cell a=8.700 b=8.700 c=8.700 alpha=20.55 beta=20.55 gamma=20.55
Sites, in units of the cell vectors:
Cl 0.929 0.929 0.929
N 0.000 0.000 0.000
Cl 0.071 0.071 0.071
Au 0.500 0.500 0.500



Compound: AuNCl2
Source: the Alexandria database
Functional: PBE
Structure: optimized geometry

The calculation puts the formation energy (no corrections) at 1.317 eV per atom. For the total magnetic moment, the calculation gives 0.000 μB per atom. The calculation puts the energy relative to the lowest polymorph listed for this composition at 0.058 eV per atom.

Unit cell a=5.167 b=5.167 c=7.163 alpha=68.86 beta=68.86 gamma=90.00
Sites, in units of the cell vectors:
N 0.250 0.750 0.500
Cl 0.535 0.125 0.250
Cl 0.875 0.785 0.750
Au 0.750 0.250 0.500
Cl 0.215 0.625 0.250
Au 0.000 0.000 0.000
N 0.500 0.500 0.000
Cl 0.375 0.465 0.750



Compound: AuN2Cl
Source: the Alexandria database
Functional: PBE
Structure: optimized geometry

The calculation puts the formation energy (no corrections) at 2.645 eV per atom. For the total magnetic moment, the calculation gives 0.338 μB per atom. The calculation puts the energy relative to the lowest polymorph listed for this composition at 2.620 eV per atom.

Unit cell a=4.132 b=4.132 c=4.132 alpha=60.00 beta=60.00 gamma=60.00
Last column: magnetic moment on the atom in μB.
Sites, in units of the cell vectors:
Au 0.500 0.500 0.500  0.09
Cl 0.000 0.000 0.000  0.15
N 0.750 0.750 0.750  0.41
N 0.250 0.250 0.250  0.41